The following is a PBE calculation of crystalline TbAlAg2Se4 at its relaxed geometry, from Alexandria via LeMat-Bulk.

Results
**DOS at the Fermi energy**: 0.2 states/eV/f.u.
**Uncorrected formation energy**: -788 meV per atom
**Symmetry**: Imma
**Crystal system**: orthorhombic

a b c (Å): 8.0249 8.0249 8.0249
angles (deg): 123.27 115.51 91.19
Last column: nearest neighbours and their distance in Å.
Sites, in units of the cell vectors:
Tb1 0.0000 0.0000 0.0000  6 Se 2.88
Tb2 0.5000 0.0000 0.5000  6 Se 2.88
Al1 0.5000 0.0000 0.0000  4 Se 2.58
Al2 0.5000 0.5000 0.5000  4 Se 2.58
Ag1 0.0000 0.0000 0.5000  2 Se 2.72
Ag2 0.0000 0.5000 0.0000  2 Se 2.72
Ag3 0.0000 0.5000 0.5000  6 Se 2.80-2.86
Ag4 0.5000 0.5000 0.0000  6 Se 2.80-2.86
Se1 0.2421 0.2439 0.5018  3 Ag 2.72-2.86, 2 Tb 2.88, 1 Al 2.90
Se2 0.2421 0.7403 0.9982  3 Ag 2.72-2.86, 2 Tb 2.88, 1 Al 2.90
Se3 0.2940 0.7465 0.5475  2 Al 2.58, 1 Ag 2.80, 1 Tb 2.88
Se4 0.3010 0.2535 0.0475  2 Al 2.58, 1 Ag 2.80, 1 Tb 2.88
Se5 0.6990 0.7465 0.9525  2 Al 2.58, 1 Ag 2.80, 1 Tb 2.88
Se6 0.7060 0.2535 0.4525  2 Al 2.58, 1 Ag 2.80, 1 Tb 2.88
Se7 0.7579 0.2597 0.0018  3 Ag 2.72-2.86, 2 Tb 2.88, 1 Al 2.90
Se8 0.7579 0.7561 0.4982  3 Ag 2.72-2.86, 2 Tb 2.88, 1 Al 2.90

=====

The following is a PBE calculation of crystalline AlZn2AgSe4 at its relaxed geometry, from Alexandria via LeMat-Bulk.

Results
**Uncorrected formation energy**: -658 meV per atom
**Symmetry**: I-42m
**Crystal system**: tetragonal

a b c (Å): 7.0267 7.0267 7.0267
angles (deg): 130.62 130.62 72.43
Last column: nearest neighbours and their distance in Å.
Sites, in units of the cell vectors:
Al1 0.0000 0.0000 0.0000  4 Se 2.42
Zn1 0.2500 0.7500 0.5000  4 Se 2.50
Zn2 0.7500 0.2500 0.5000  4 Se 2.50
Ag1 0.5000 0.5000 0.0000  4 Se 2.64
Se1 0.1060 0.1060 0.4675  1 Al 2.42, 2 Zn 2.50, 1 Ag 2.64
Se2 0.3615 0.8940 0.0000  1 Al 2.42, 2 Zn 2.50, 1 Ag 2.64
Se3 0.6385 0.6385 0.5325  1 Al 2.42, 2 Zn 2.50, 1 Ag 2.64
Se4 0.8940 0.3615 0.0000  1 Al 2.42, 2 Zn 2.50, 1 Ag 2.64

=====

The following is a PBE calculation of crystalline Al2Si2Ag at its relaxed geometry, from Alexandria via LeMat-Bulk.

Results
**DOS at the Fermi energy**: 2.0 states/eV/f.u.
**Offset from the most stable computed form**: 0 meV per atom
**Uncorrected formation energy**: 211 meV per atom
**Symmetry**: I4/mmm
**Crystal system**: tetragonal

a b c (Å): 5.8887 5.8887 5.8887
angles (deg): 137.80 137.80 61.21
Last column: nearest neighbours and their distance in Å.
Sites, in units of the cell vectors:
Al1 0.2500 0.7500 0.5000  4 Si 2.53
Al2 0.7500 0.2500 0.5000  4 Si 2.53
Si1 0.1133 0.1133 0.0000  1 Si 2.30, 4 Al 2.53
Si2 0.8867 0.8867 0.0000  1 Si 2.30, 4 Al 2.53
Ag1 0.5000 0.5000 0.0000  8 Si 3.21, 8 Al 3.30

=====

The following is a PBE calculation of crystalline Al2SiAg at its relaxed geometry, from Alexandria via LeMat-Bulk.

Results
**DOS at the Fermi energy**: 1.7 states/eV/f.u.
**Uncorrected formation energy**: 183 meV per atom
**Symmetry**: I4/mmm
**Crystal system**: tetragonal

a b c (Å): 4.8666 4.8666 4.8666
angles (deg): 129.91 129.91 73.55
Last column: nearest neighbours and their distance in Å.
Sites, in units of the cell vectors:
Al1 0.2500 0.7500 0.5000  4 Si 2.84, 4 Ag 2.84, 4 Al 2.91
Al2 0.7500 0.2500 0.5000  4 Ag 2.84, 4 Si 2.84, 4 Al 2.91
Si1 0.0000 0.0000 0.0000  8 Al 2.84, 4 Ag 2.91
Ag1 0.5000 0.5000 0.0000  8 Al 2.84, 4 Si 2.91

=====

The following is a PBE calculation of crystalline AlSiAg at its relaxed geometry, from Alexandria via LeMat-Bulk.

Results
**DOS at the Fermi energy**: 1.2 states/eV/f.u.
**Uncorrected formation energy**: 245 meV per atom
**Symmetry**: Fmm2
**Crystal system**: orthorhombic

a b c (Å): 7.1268 6.9126 2.8381
angles (deg): 82.61 74.13 23.26
Last column: nearest neighbours and their distance in Å.
Sites, in units of the cell vectors:
Al1 0.0000 0.0000 0.0000  2 Si 2.64, 2 Ag 2.76, 4 Al 2.84
Si1 0.6566 0.6566 0.3434  2 Al 2.64, 4 Si 2.84, 2 Ag 2.85
Ag1 0.3321 0.3321 0.6679  2 Al 2.76, 4 Ag 2.84, 2 Si 2.85

=====

The following is a PBE calculation of crystalline Al4SiAg at its relaxed geometry, from Alexandria via LeMat-Bulk.

Results
**DOS at the Fermi energy**: 2.2 states/eV/f.u.
**Uncorrected formation energy**: 319 meV per atom
**Symmetry**: F-43m
**Crystal system**: cubic

a b c (Å): 5.3172 5.3172 5.3172
angles (deg): 60.00 60.00 60.00
Last column: nearest neighbours and their distance in Å.
Sites, in units of the cell vectors:
Al1 0.1251 0.1251 0.1251  6 Al 2.66
Al2 0.1251 0.1251 0.6246  6 Al 2.66
Al3 0.1251 0.6246 0.1251  6 Al 2.66
Al4 0.6246 0.1251 0.1251  6 Al 2.66
Si1 0.7500 0.7500 0.7500  12 Al 3.12, 4 Ag 3.26
Ag1 0.5000 0.5000 0.5000  12 Al 3.12, 4 Si 3.26

=====

The following is a PBE calculation of crystalline AlSi2Ag at its relaxed geometry, from Alexandria via LeMat-Bulk.

Results
**DOS at the Fermi energy**: 0.9 states/eV/f.u.
**Uncorrected formation energy**: 317 meV per atom
**Symmetry**: Pmm2
**Crystal system**: orthorhombic

a b c (Å): 2.8301 4.1513 5.5946
angles (deg): 90.00 90.00 90.00
Last column: nearest neighbours and their distance in Å.
Sites, in units of the cell vectors:
Al1 0.0000 0.0000 0.0000  1 Si 2.60, 4 Ag 2.78, 2 Al 2.83
Si1 0.0000 0.0000 0.4643  1 Al 2.60, 6 Si 2.70-2.83
Si2 0.5000 0.5000 0.2857  6 Si 2.70-2.83, 2 Ag 2.78-2.81, 4 Al 2.98
Ag1 0.5000 0.5000 0.7880  4 Al 2.78, 6 Si 2.78-3.10, 2 Ag 2.83

=====

The following is a PBE calculation of crystalline Al2SiAg at its relaxed geometry, from Alexandria via LeMat-Bulk.

Results
**DOS at the Fermi energy**: 1.6 states/eV/f.u.
**Uncorrected formation energy**: 211 meV per atom
**Symmetry**: Immm
**Crystal system**: orthorhombic

a b c (Å): 5.6610 5.6610 5.6610
angles (deg): 151.95 126.00 61.95
Last column: nearest neighbours and their distance in Å.
Sites, in units of the cell vectors:
Al1 0.2401 0.2401 0.0000  2 Si 2.70, 6 Al 2.74-2.92, 2 Ag 2.87
Al2 0.7599 0.7599 0.0000  2 Si 2.70, 6 Al 2.74-2.92, 2 Ag 2.87
Si1 0.0000 0.5000 0.5000  4 Al 2.70, 2 Si 2.74, 4 Ag 2.91
Ag1 0.5000 0.0000 0.5000  2 Ag 2.74, 4 Al 2.87, 4 Si 2.91

=====

The following is a PBE calculation of crystalline AlSiAg2 at its relaxed geometry, from Alexandria via LeMat-Bulk.

Results
**DOS at the Fermi energy**: 1.3 states/eV/f.u.
**Uncorrected formation energy**: 170 meV per atom
**Symmetry**: I-4m2
**Crystal system**: tetragonal

a b c (Å): 4.9917 4.9917 4.9917
angles (deg): 131.93 131.93 70.33
Last column: nearest neighbours and their distance in Å.
Sites, in units of the cell vectors:
Al1 0.0000 0.0000 0.0000  8 Ag 2.88, 4 Si 2.88
Si1 0.7500 0.2500 0.5000  8 Ag 2.88, 4 Al 2.88
Ag1 0.2500 0.7500 0.5000  4 Si 2.88, 4 Ag 2.88, 4 Al 2.88
Ag2 0.5000 0.5000 0.0000  4 Al 2.88, 4 Si 2.88, 4 Ag 2.88

=====

The following is a PBE calculation of crystalline Al2SiAg at its relaxed geometry, from Alexandria via LeMat-Bulk.

Results
**DOS at the Fermi energy**: 2.1 states/eV/f.u.
**Uncorrected formation energy**: 264 meV per atom
**Symmetry**: I-42d
**Crystal system**: tetragonal

a b c (Å): 5.8973 5.8973 5.8973
angles (deg): 101.97 101.97 125.83
Last column: nearest neighbours and their distance in Å.
Sites, in units of the cell vectors:
Al1 0.0882 0.6250 0.9632  2 Si 2.53, 2 Al 2.74
Al2 0.3750 0.3382 0.4632  2 Si 2.53, 2 Al 2.74
Al3 0.6618 0.1250 0.0368  2 Si 2.53, 2 Al 2.74
Al4 0.8750 0.9118 0.5368  2 Si 2.53, 2 Al 2.74
Si1 0.0000 0.0000 0.0000  4 Al 2.53, 2 Ag 2.69
Si2 0.7500 0.2500 0.5000  4 Al 2.53, 2 Ag 2.69
Ag1 0.2500 0.7500 0.5000  2 Si 2.69, 4 Al 2.90
Ag2 0.5000 0.5000 0.0000  2 Si 2.69, 4 Al 2.90

=====

The following is a PBE calculation of crystalline AlSi2Ag2 at its relaxed geometry, from Alexandria via LeMat-Bulk.

Results
**DOS at the Fermi energy**: 2.1 states/eV/f.u.
**Offset from the most stable computed form**: 0 meV per atom
**Uncorrected formation energy**: 304 meV per atom
**Symmetry**: I4/mmm
**Crystal system**: tetragonal

a b c (Å): 8.0276 8.0276 8.0276
angles (deg): 155.42 155.42 35.04
Last column: nearest neighbours and their distance in Å.
Sites, in units of the cell vectors:
Al1 0.0000 0.0000 0.0000  8 Ag 2.83
Si1 0.2500 0.7500 0.5000  4 Si 2.42
Si2 0.7500 0.2500 0.5000  4 Si 2.42
Ag1 0.4033 0.4033 0.0000  4 Al 2.83, 4 Si 2.90, 1 Ag 2.96
Ag2 0.5967 0.5967 0.0000  4 Al 2.83, 4 Si 2.90, 1 Ag 2.96

=====

The following is a PBE calculation of crystalline Al2SiAg at its relaxed geometry, from Alexandria via LeMat-Bulk.

Results
**DOS at the Fermi energy**: 1.0 states/eV/f.u.
**Uncorrected formation energy**: 164 meV per atom
**Symmetry**: R3m
**Crystal system**: trigonal

a b c (Å): 6.0002 6.0002 6.0002
angles (deg): 38.43 38.43 38.43
Last column: nearest neighbours and their distance in Å.
Sites, in units of the cell vectors:
Al1 0.0000 0.0000 0.0000  3 Si 2.60, 3 Ag 2.78
Al2 0.1855 0.1855 0.1855  3 Si 2.58, 3 Ag 2.73
Si1 0.5913 0.5913 0.5913  6 Al 2.58-2.60, 1 Ag 2.71
Ag1 0.4287 0.4287 0.4287  1 Si 2.71, 6 Al 2.73-2.78

=====

The following is a PBE calculation of crystalline AlSiAg2 at its relaxed geometry, from Alexandria via LeMat-Bulk.

Results
**DOS at the Fermi energy**: 1.9 states/eV/f.u.
**Uncorrected formation energy**: 272 meV per atom
**Symmetry**: F-43m
**Crystal system**: cubic

a b c (Å): 4.6168 4.6168 4.6168
angles (deg): 60.00 60.00 60.00
Last column: nearest neighbours and their distance in Å.
Sites, in units of the cell vectors:
Al1 0.0000 0.0000 0.0000  4 Ag 2.83, 4 Si 2.83
Si1 0.2500 0.2500 0.2500  4 Ag 2.83, 4 Al 2.83
Ag1 0.5000 0.5000 0.5000  4 Ag 2.83, 4 Si 2.83
Ag2 0.7500 0.7500 0.7500  4 Ag 2.83, 4 Al 2.83

=====

The following is a PBE calculation of crystalline AlSi2Ag at its relaxed geometry, from Alexandria via LeMat-Bulk.

Results
**DOS at the Fermi energy**: 1.4 states/eV/f.u.
**Uncorrected formation energy**: 295 meV per atom
**Symmetry**: Cmm2
**Crystal system**: orthorhombic

a b c (Å): 2.8225 2.8225 8.1872
angles (deg): 90.00 90.00 98.91
Last column: nearest neighbours and their distance in Å.
Sites, in units of the cell vectors:
Al1 0.0000 0.0000 0.0000  4 Si 2.69-2.91, 4 Ag 2.77-2.99, 4 Al 2.82
Si1 0.0000 0.0000 0.4747  8 Si 2.65-2.87, 2 Ag 2.88
Si2 0.5000 0.5000 0.2410  8 Si 2.65-2.87, 4 Al 2.69-2.91
Ag1 0.5000 0.5000 0.7457  4 Al 2.77-2.99, 4 Ag 2.82, 4 Si 2.88-3.09

=====

The following is a PBE calculation of crystalline AlSiAg at its relaxed geometry, from Alexandria via LeMat-Bulk.

Results
**DOS at the Fermi energy**: 0.9 states/eV/f.u.
**Uncorrected formation energy**: 153 meV per atom
**Symmetry**: P3m1
**Crystal system**: trigonal

a b c (Å): 3.0419 3.0419 6.1976
angles (deg): 90.00 90.00 120.00
Last column: nearest neighbours and their distance in Å.
Sites, in units of the cell vectors:
Al1 0.0000 0.0000 0.0000  3 Si 2.65, 3 Ag 2.74
Si1 0.3333 0.6667 0.3203  3 Al 2.65, 3 Ag 2.74
Ag1 0.6667 0.3333 0.6607  3 Al 2.74, 3 Si 2.74, 6 Ag 3.04

=====

The following is a PBE calculation of crystalline Al2SiAg at its relaxed geometry, from Alexandria via LeMat-Bulk.

Results
**DOS at the Fermi energy**: 1.4 states/eV/f.u.
**Uncorrected formation energy**: 149 meV per atom
**Symmetry**: C2/m
**Crystal system**: monoclinic

a b c (Å): 4.7659 4.7659 5.0716
angles (deg): 102.07 102.07 36.11
Last column: nearest neighbours and their distance in Å.
Sites, in units of the cell vectors:
Al1 0.2471 0.2471 0.2432  3 Si 2.74-2.83, 3 Ag 2.80-2.83, 6 Al 2.89-2.98
Al2 0.7529 0.7529 0.7568  3 Si 2.74-2.83, 3 Ag 2.80-2.83, 6 Al 2.89-2.98
Si1 0.5000 0.5000 0.0000  6 Al 2.74-2.83, 4 Ag 2.93, 2 Si 2.95
Ag1 0.0000 0.0000 0.5000  6 Al 2.80-2.83, 4 Si 2.93, 2 Ag 2.95

=====

The following is a PBE calculation of crystalline AlSiAg at its relaxed geometry, from Alexandria via LeMat-Bulk.

Results
**DOS at the Fermi energy**: 0.7 states/eV/f.u.
**Uncorrected formation energy**: 119 meV per atom
**Symmetry**: P2_1/m
**Crystal system**: monoclinic

a b c (Å): 4.9228 3.0829 6.8042
angles (deg): 90.00 92.50 90.00
Last column: nearest neighbours and their distance in Å.
Sites, in units of the cell vectors:
Al1 0.2160 0.2500 0.2352  4 Si 2.54-2.76, 3 Ag 2.73-2.74
Al2 0.7840 0.7500 0.7648  4 Si 2.54-2.76, 3 Ag 2.73-2.74
Si1 0.2964 0.7500 0.9473  4 Al 2.54-2.76, 1 Ag 2.59, 2 Si 2.60
Si2 0.7036 0.2500 0.0527  4 Al 2.54-2.76, 1 Ag 2.59, 2 Si 2.60
Ag1 0.2581 0.7500 0.5670  1 Si 2.59, 4 Al 2.73-2.86
Ag2 0.7419 0.2500 0.4330  1 Si 2.59, 4 Al 2.73-2.86

=====

The following is a PBE calculation of crystalline Al3SiAg at its relaxed geometry, from Alexandria via LeMat-Bulk.

Results
**DOS at the Fermi energy**: 2.5 states/eV/f.u.
**Offset from the most stable computed form**: 0 meV per atom
**Uncorrected formation energy**: 597 meV per atom
**Symmetry**: Pm-3m
**Crystal system**: cubic

a b c (Å): 4.7939 4.7939 4.7939
angles (deg): 90.00 90.00 90.00
Last column: nearest neighbours and their distance in Å.
Sites, in units of the cell vectors:
Al1 0.0000 0.0000 0.5000  2 Si 2.40
Al2 0.0000 0.5000 0.0000  2 Si 2.40
Al3 0.5000 0.0000 0.0000  2 Si 2.40
Si1 0.0000 0.0000 0.0000  6 Al 2.40
Ag1 0.5000 0.5000 0.5000  12 Al 3.39

=====

The following is a PBE calculation of crystalline Al2SiAg at its relaxed geometry, from Alexandria via LeMat-Bulk.

Results
**DOS at the Fermi energy**: 2.8 states/eV/f.u.
**Uncorrected formation energy**: 308 meV per atom
**Symmetry**: F-43m
**Crystal system**: cubic

a b c (Å): 4.6017 4.6017 4.6017
angles (deg): 60.00 60.00 60.00
Last column: nearest neighbours and their distance in Å.
Sites, in units of the cell vectors:
Al1 0.0000 0.0000 0.0000  4 Al 2.82, 4 Ag 2.82
Al2 0.2500 0.2500 0.2500  4 Al 2.82, 4 Si 2.82
Si1 0.5000 0.5000 0.5000  4 Al 2.82, 4 Ag 2.82
Ag1 0.7500 0.7500 0.7500  4 Al 2.82, 4 Si 2.82

=====

The following is a PBE calculation of crystalline AlSiAg at its relaxed geometry, from Alexandria via LeMat-Bulk.

Results
**DOS at the Fermi energy**: 1.0 states/eV/f.u.
**Uncorrected formation energy**: 166 meV per atom
**Symmetry**: P-1
**Crystal system**: triclinic

a b c (Å): 2.9819 5.0825 7.1302
angles (deg): 110.63 101.11 91.35
Last column: nearest neighbours and their distance in Å.
Sites, in units of the cell vectors:
Al1 0.1668 0.4989 0.3333  3 Si 2.65-2.96, 2 Al 2.75-2.79, 3 Ag 2.75-2.79
Al2 0.8332 0.5011 0.6667  3 Si 2.65-2.96, 2 Al 2.75-2.79, 3 Ag 2.75-2.79
Si1 0.3073 0.9872 0.6475  2 Si 2.55-2.62, 1 Al 2.65, 1 Ag 2.82
Si2 0.6927 0.0128 0.3525  2 Si 2.55-2.62, 1 Al 2.65, 1 Ag 2.82
Ag1 0.0000 0.0000 0.0000  2 Al 2.75, 4 Si 2.82-2.91, 6 Ag 2.92-2.98
Ag2 0.5000 0.5000 0.0000  4 Al 2.75-2.79, 2 Si 2.86, 6 Ag 2.92-2.98